[1]
DFT (PBE-GGA) results for a relaxed structure of K3SnRh.

Output
**Space group**: No. 221
**DFT formation energy**: 3.286 eV per formula unit
**VASP energy**: -11.361 eV for the cell shown
**Magnetic moment**: 0.00 μB per formula unit
**Density of states at the Fermi level**: 0.83 states/eV per atom

```
data_K3SnRh
_chemical_formula_sum 'K3 Sn1 Rh1'
_symmetry_space_group_name_H-M 'P 1'
_symmetry_Int_Tables_number 1
_cell_length_a 5.813
_cell_length_b 5.813
_cell_length_c 5.813
_cell_angle_alpha 90.00
_cell_angle_beta 90.00
_cell_angle_gamma 90.00
loop_
_symmetry_equiv_pos_as_xyz
'x,y,z'
loop_
_atom_site_label
_atom_site_type_symbol
_atom_site_fract_x
_atom_site_fract_y
_atom_site_fract_z
_atom_site_occupancy
K1 K 0.000 0.000 0.500 1
K2 K 0.000 0.500 0.000 1
K3 K 0.500 0.000 0.000 1
Sn1 Sn 0.500 0.500 0.500 1
Rh1 Rh 0.000 0.000 0.000 1
```

[2]
DFT (PBE-GGA) results for a relaxed structure of SrLa2Si.

Output
**Space group**: No. 160
**Formation energy from raw total energies**: -23 kJ/mol of atoms
**VASP energy**: -53.731 eV for the cell shown
**Magnetic moment**: 1.36 μB per formula unit
**Density of states at the Fermi level**: 1.11 states/eV per atom

```
data_SrLa2Si
_chemical_formula_sum 'Sr3 La6 Si3'
_symmetry_space_group_name_H-M 'P 1'
_symmetry_Int_Tables_number 1
_cell_length_a 4.287
_cell_length_b 4.287
_cell_length_c 30.980
_cell_angle_alpha 90.00
_cell_angle_beta 90.00
_cell_angle_gamma 120.00
loop_
_symmetry_equiv_pos_as_xyz
'x,y,z'
loop_
_atom_site_label
_atom_site_type_symbol
_atom_site_fract_x
_atom_site_fract_y
_atom_site_fract_z
_atom_site_occupancy
Sr1 Sr 0.000 0.000 0.000 1
Sr2 Sr 0.333 0.667 0.667 1
Sr3 Sr 0.667 0.333 0.333 1
La1 La 0.000 0.000 0.221 1
La2 La 0.000 0.000 0.448 1
La3 La 0.333 0.667 0.115 1
La4 La 0.333 0.667 0.888 1
La5 La 0.667 0.333 0.555 1
La6 La 0.667 0.333 0.781 1
Si1 Si 0.000 0.000 0.835 1
Si2 Si 0.333 0.667 0.502 1
Si3 Si 0.667 0.333 0.169 1
```

[3]
DFT (PBE-GGA) results for a relaxed structure of Dy6In2CN.

Output
**Space group**: No. 225
**Formation energy from raw total energies**: -74 kJ/mol of atoms
**VASP energy**: -58.280 eV for the cell shown
**Magnetic moment**: 0.00 μB per formula unit
**Density of states at the Fermi level**: 0.28 states/eV per atom

```
data_Dy6In2CN
_chemical_formula_sum 'Dy6 In2 C1 N1'
_symmetry_space_group_name_H-M 'P 1'
_symmetry_Int_Tables_number 1
_cell_length_a 6.890
_cell_length_b 6.890
_cell_length_c 6.890
_cell_angle_alpha 60.00
_cell_angle_beta 60.00
_cell_angle_gamma 60.00
loop_
_symmetry_equiv_pos_as_xyz
'x,y,z'
loop_
_atom_site_label
_atom_site_type_symbol
_atom_site_fract_x
_atom_site_fract_y
_atom_site_fract_z
_atom_site_occupancy
Dy1 Dy 0.250 0.250 0.750 1
Dy2 Dy 0.250 0.750 0.250 1
Dy3 Dy 0.250 0.750 0.750 1
Dy4 Dy 0.750 0.250 0.250 1
Dy5 Dy 0.750 0.250 0.750 1
Dy6 Dy 0.750 0.750 0.250 1
In1 In 0.250 0.250 0.250 1
In2 In 0.750 0.750 0.750 1
C1 C 0.000 0.000 0.000 1
N1 N 0.500 0.500 0.500 1
```

[4]
DFT (PBE-GGA) results for a relaxed structure of Sr2AsP.

Output
**Space group**: No. 65
**DFT formation energy**: -3.134 eV per formula unit
**VASP energy**: -33.114 eV for the cell shown
**Magnetic moment**: 0.00 μB per formula unit
**Density of states at the Fermi level**: 0.55 states/eV per atom

```
data_Sr2AsP
_chemical_formula_sum 'Sr4 As2 P2'
_symmetry_space_group_name_H-M 'P 1'
_symmetry_Int_Tables_number 1
_cell_length_a 6.580
_cell_length_b 7.927
_cell_length_c 4.030
_cell_angle_alpha 90.00
_cell_angle_beta 90.00
_cell_angle_gamma 90.00
loop_
_symmetry_equiv_pos_as_xyz
'x,y,z'
loop_
_atom_site_label
_atom_site_type_symbol
_atom_site_fract_x
_atom_site_fract_y
_atom_site_fract_z
_atom_site_occupancy
Sr1 Sr 0.250 0.250 0.000 1
Sr2 Sr 0.250 0.750 0.000 1
Sr3 Sr 0.750 0.250 0.000 1
Sr4 Sr 0.750 0.750 0.000 1
As1 As 0.000 0.000 0.500 1
As2 As 0.500 0.500 0.500 1
P1 P 0.000 0.500 0.500 1
P2 P 0.500 0.000 0.500 1
```

[5]
DFT (PBE-GGA) results for a relaxed structure of DyInPt.

Output
**Space group**: No. 187
**DFT formation energy**: -2.461 eV per formula unit
**VASP energy**: -15.842 eV for the cell shown
**Magnetic moment**: 0.00 μB per formula unit
**Density of states at the Fermi level**: 0.89 states/eV per atom

```
data_DyInPt
_chemical_formula_sum 'Dy1 In1 Pt1'
_symmetry_space_group_name_H-M 'P 1'
_symmetry_Int_Tables_number 1
_cell_length_a 4.674
_cell_length_b 4.674
_cell_length_c 3.563
_cell_angle_alpha 90.00
_cell_angle_beta 90.00
_cell_angle_gamma 120.00
loop_
_symmetry_equiv_pos_as_xyz
'x,y,z'
loop_
_atom_site_label
_atom_site_type_symbol
_atom_site_fract_x
_atom_site_fract_y
_atom_site_fract_z
_atom_site_occupancy
Dy1 Dy 0.000 0.000 0.000 1
In1 In 0.667 0.333 0.500 1
Pt1 Pt 0.333 0.667 0.500 1
```

[6]
DFT (PBE-GGA) results for a relaxed structure of Ca2Pr6Dy3.

Output
**Space group**: No. 166
**DFT formation energy**: 0.259 eV per formula unit
**VASP energy**: -46.228 eV for the cell shown
**Magnetic moment**: 0.00 μB per formula unit
**Density of states at the Fermi level**: 1.19 states/eV per atom

```
data_Ca2Pr6Dy3
_chemical_formula_sum 'Ca2 Pr6 Dy3'
_symmetry_space_group_name_H-M 'P 1'
_symmetry_Int_Tables_number 1
_cell_length_a 33.443
_cell_length_b 33.443
_cell_length_c 33.443
_cell_angle_alpha 6.31
_cell_angle_beta 6.31
_cell_angle_gamma 6.31
loop_
_symmetry_equiv_pos_as_xyz
'x,y,z'
loop_
_atom_site_label
_atom_site_type_symbol
_atom_site_fract_x
_atom_site_fract_y
_atom_site_fract_z
_atom_site_occupancy
Ca1 Ca 0.047 0.047 0.047 1
Ca2 Ca 0.953 0.953 0.953 1
Pr1 Pr 0.137 0.137 0.137 1
Pr2 Pr 0.319 0.319 0.319 1
Pr3 Pr 0.413 0.413 0.413 1
Pr4 Pr 0.587 0.587 0.587 1
Pr5 Pr 0.681 0.681 0.681 1
Pr6 Pr 0.863 0.863 0.863 1
Dy1 Dy 0.225 0.225 0.225 1
Dy2 Dy 0.500 0.500 0.500 1
Dy3 Dy 0.775 0.775 0.775 1
```

Question: The highest density of states at the Fermi level belongs to which entry?
Answer: Ca2Pr6Dy3